NaCuSi2Tc at its PBEsol-relaxed geometry. Source: the Alexandria database, functional SCAN.

Summary:
E_form (uncorrected) = 1014 meV/atom
Density of states at the Fermi level = 2.7 states/eV per cell
Total energy = -13.89 eV per atom

Lattice parameters (Å, degrees): 4.378 4.378 4.469 90.00 90.00 90.00
Space group P4/mmm (No. 123)
Inequivalent atoms, fractional coordinates:
1 Na 0.000 0.000 0.000 x1
2 Cu 0.000 0.000 0.500 x1
3 Si 0.000 0.500 0.500 x2
4 Tc 0.500 0.500 0.000 x1

***

Rb2NiAgH at its PBEsol-relaxed geometry. Source: the Alexandria database, functional SCAN.

Summary:
Density of states at the Fermi level = 2.0 states/eV per cell
Total energy = -17.88 eV per atom

Lattice parameters (Å, degrees): 6.385 6.385 3.471 90.00 90.00 90.00
Space group P4/mmm (No. 123)
Inequivalent atoms, fractional coordinates:
1 Rb 0.000 0.500 0.000 x2
2 Ni 0.000 0.000 0.500 x1
3 Ag 0.500 0.500 0.000 x1
4 H 0.500 0.500 0.500 x1

***

SnHgP3 at its PBEsol-relaxed geometry. Source: the Alexandria database, functional SCAN.

Summary:
Density of states at the Fermi level = 5.1 states/eV per cell
Total energy = -25.78 eV per atom
DFT formation energy = 1.28 eV per atom

Lattice parameters (Å, degrees): 4.927 4.927 4.927 90.00 90.00 90.00
Space group Pm-3m (No. 221)
Inequivalent atoms, fractional coordinates:
1 Sn 0.000 0.000 0.000 x1
2 Hg 0.500 0.500 0.500 x1
3 P 0.000 0.500 0.500 x3

***

Sc2TlCl at its PBEsol-relaxed geometry. Source: the Alexandria database, functional SCAN.

Summary:
E_form (uncorrected) = -501 meV/atom
Offset from the most stable computed form = 362 meV per atom
Density of states at the Fermi level = 4.0 states/eV per cell
Total energy = -27.70 eV per atom

Lattice parameters (Å, degrees): 3.351 4.669 5.758 90.00 90.00 90.00
Space group Pmmm (No. 47)
Inequivalent atoms, fractional coordinates:
1 Sc 0.000 0.000 0.000 x1
2 Sc 0.500 0.000 0.500 x1
3 Tl 0.000 0.500 0.500 x1
4 Cl 0.500 0.500 0.000 x1

***

BaBeO3 at its PBEsol-relaxed geometry. Source: the Alexandria database, functional SCAN.

Summary:
E_form (uncorrected) = 422 meV/atom
Density of states at the Fermi level = 1.4 states/eV per cell
Total energy = -12.10 eV per atom

Lattice parameters (Å, degrees): 4.500 4.500 4.500 90.00 90.00 90.00
Space group Pm-3m (No. 221)
Inequivalent atoms, fractional coordinates:
1 Ba 0.000 0.000 0.000 x1
2 Be 0.500 0.500 0.500 x1
3 O 0.000 0.000 0.500 x3

***

Sc2SnPdAu at its PBEsol-relaxed geometry. Source: the Alexandria database, functional SCAN.

Summary:
Density of states at the Fermi level = 3.5 states/eV per cell
Total energy = -33.36 eV per atom
DFT formation energy = -0.10 eV per atom

Lattice parameters (Å, degrees): 4.970 4.970 4.922 90.00 90.00 90.00
Space group P4/mmm (No. 123)
Inequivalent atoms, fractional coordinates:
1 Sc 0.000 0.500 0.000 x2
2 Sn 0.000 0.000 0.500 x1
3 Pd 0.500 0.500 0.500 x1
4 Au 0.500 0.500 0.000 x1

***

Hf2SbAsAu at its PBEsol-relaxed geometry. Source: the Alexandria database, functional SCAN.

Summary:
E_form (uncorrected) = 962 meV/atom
Density of states at the Fermi level = 4.6 states/eV per cell
Total energy = -49.43 eV per atom

Lattice parameters (Å, degrees): 5.254 5.254 4.864 90.00 90.00 90.00
Space group P4/mmm (No. 123)
Inequivalent atoms, fractional coordinates:
1 Hf 0.000 0.500 0.000 x2
2 Sb 0.000 0.000 0.000 x1
3 As 0.500 0.500 0.500 x1
4 Au 0.000 0.000 0.500 x1

***

Rb3SnC at its PBEsol-relaxed geometry. Source: the Alexandria database, functional SCAN.

Summary:
Density of states at the Fermi level = 3.7 states/eV per cell
Total energy = -20.43 eV per atom
DFT formation energy = 1.22 eV per atom

Lattice parameters (Å, degrees): 6.961 6.961 6.961 90.00 90.00 90.00
Space group Pm-3m (No. 221)
Inequivalent atoms, fractional coordinates:
1 Rb 0.000 0.000 0.500 x3
2 Sn 0.000 0.000 0.000 x1
3 C 0.500 0.500 0.500 x1

***

YMgFe2 at its PBEsol-relaxed geometry. Source: the Alexandria database, functional SCAN.

Summary:
Density of states at the Fermi level = 5.7 states/eV per cell
Total energy = -17.08 eV per atom
DFT formation energy = 0.19 eV per atom

Lattice parameters (Å, degrees): 3.243 4.490 9.451 90.00 90.00 90.00
Space group Imm2 (No. 44)
Inequivalent atoms, fractional coordinates:
1 Y 0.000 0.000 0.000 x2
2 Mg 0.000 0.500 0.217 x2
3 Fe 0.000 0.000 0.450 x2
4 Fe 0.000 0.500 0.780 x2

***

Cs3SbF at its PBEsol-relaxed geometry. Source: the Alexandria database, functional SCAN.

Summary:
E_form (uncorrected) = -1378 meV/atom
Density of states at the Fermi level = 4.2 states/eV per cell
Total energy = -32.22 eV per atom

Lattice parameters (Å, degrees): 5.805 5.805 5.805 90.00 90.00 90.00
Space group Pm-3m (No. 221)
Inequivalent atoms, fractional coordinates:
1 Cs 0.000 0.000 0.500 x3
2 Sb 0.500 0.500 0.500 x1
3 F 0.000 0.000 0.000 x1

***

SiBi2MoPd at its PBEsol-relaxed geometry. Source: the Alexandria database, functional SCAN.

Summary:
E_form (uncorrected) = 994 meV/atom
Density of states at the Fermi level = 2.6 states/eV per cell
Total energy = -45.97 eV per atom

Lattice parameters (Å, degrees): 5.322 5.322 4.407 90.00 90.00 90.00
Space group P4/mmm (No. 123)
Inequivalent atoms, fractional coordinates:
1 Si 0.000 0.000 0.000 x1
2 Bi 0.000 0.500 0.000 x2
3 Mo 0.500 0.500 0.500 x1
4 Pd 0.000 0.000 0.500 x1

***

NaScBeGe2 at its PBEsol-relaxed geometry. Source: the Alexandria database, functional SCAN.

Summary:
Density of states at the Fermi level = 2.6 states/eV per cell
Total energy = -10.89 eV per atom
DFT formation energy = 1.30 eV per atom

Lattice parameters (Å, degrees): 4.816 4.816 4.742 90.00 90.00 90.00
Space group P4/mmm (No. 123)
Inequivalent atoms, fractional coordinates:
1 Na 0.000 0.000 0.000 x1
2 Sc 0.000 0.000 0.500 x1
3 Be 0.500 0.500 0.500 x1
4 Ge 0.000 0.500 0.000 x2